A plane-wave DFT calculation with PBE was carried out for a relaxed KFe2CuI8 crystal.

The structure in POSCAR format:
```
KFe2CuI8
1.0
7.2659 0.0000 0.0000
-3.6329 6.2924 0.0000
0.0000 0.0000 10.2499
K Fe Cu I
1 2 1 8
direct
0.0000 0.0000 0.0000
0.3333 0.6667 0.7422
0.6667 0.3333 0.2578
0.0000 0.0000 0.5000
0.0064 0.3197 0.6658
0.3133 0.9936 0.6658
0.3197 0.3133 0.3342
0.3333 0.6667 0.9912
0.6667 0.3333 0.0088
0.6803 0.6867 0.6658
0.6867 0.0064 0.3342
0.9936 0.6803 0.3342
```

## Properties
The calculation puts the total energy at -38.73 eV/cell. The calculation puts the formation energy without anion corrections at -4.2 eV/f.u. Its space group is P-3, No. 147. The density is 4.36 g/cm3.